The following is a DFT calculation (PBE) of a geometry-optimized Zr2BrCl structure.

Properties
As for the space-group type: No. 139. For the raw total energy, the calculation gives -5.323 eV/atom. As for the crystal system: tetragonal. The energy above the lowest structure with this stoichiometry comes out at 964 meV per atom.

Structure (POSCAR):
```
Zr2BrCl
1.0
4.942 0.000 0.000
0.748 4.886 0.000
-2.845 -2.443 3.219
Br Zr Cl
1 2 1
Cartesian
0.374 2.443 1.610 Br
0.000 0.000 0.000 Zr
2.845 2.443 0.000 Zr
2.471 0.000 1.610 Cl
```